A plane-wave DFT calculation with PBE was carried out for crystalline TbHfMo at its relaxed geometry.

Output
Calculated total energy in eV per atom: -8.07

abc: 3.311 3.311 14.409
angles: 90.00 90.00 120.00
Element x y z (fractional)
Mo  0.667  0.333  0.949
Hf  0.667  0.333  0.310
Hf  0.667  0.333  0.589
Tb  0.333  0.667  0.111
Mo  0.333  0.667  0.449
Tb  0.333  0.667  0.787

---

A plane-wave DFT calculation with PBE was carried out for crystalline CaEu2Ge at its relaxed geometry.

Output
Calculated total energy in eV per atom: -6.91

abc: 3.868 3.868 11.751
angles: 80.53 80.53 60.00
Element x y z (fractional)
Ca  0.000  0.000  0.000
Eu  0.107  0.107  0.680
Eu  0.893  0.893  0.320
Ge  0.500  0.500  0.500

---

A plane-wave DFT calculation with PBE was carried out for crystalline HfThGa at its relaxed geometry.

Output
Calculated total energy in eV per atom: -7.13

abc: 4.252 4.252 8.604
angles: 104.31 104.31 90.00
Element x y z (fractional)
Th  0.321  0.321  0.642
Hf  0.500  0.000  0.000
Th  0.679  0.679  0.358
Ga  0.878  0.878  0.756
Ga  0.122  0.122  0.244
Hf  0.000  0.500  0.000

---

A plane-wave DFT calculation with PBE was carried out for crystalline ZrInTcNi at its relaxed geometry.

Output
Calculated total energy in eV per atom: -7.02

abc: 4.576 4.576 4.576
angles: 60.00 60.00 60.00
Element x y z (fractional)
Tc  0.750  0.750  0.750
Zr  0.000  0.000  0.000
Ni  0.250  0.250  0.250
In  0.500  0.500  0.500

---

| no. | total magnetization (μB per cell) | formation energy from the elements (kJ per mole of atoms) |
| --- | --- | --- |
| 1 | 1.33 | 39 |
| 2 | 14.78 | -11 |
| 3 | 0.00 | -32 |
| 4 | 0.00 | -15 |